No. 1
The following is a DFT calculation (PBE) of a geometry-optimized BaMnI2N structure.

The structure in POSCAR format:
```
BaMnI2N
1.0
6.804 0.000 0.000
0.000 6.804 0.000
0.000 0.000 5.347
I N Mn Ba
2 1 1 1
direct
0.500 0.000 0.000
0.000 0.500 0.000
0.000 0.000 0.500
0.500 0.500 0.500
0.000 0.000 0.000
```

Properties
Offset from the most stable computed form: 975 meV per atom
Formation energy without anion corrections: 0.5331 eV/atom
Total moment: 3.550 μB per cell


No. 2
The following is a DFT calculation (PBE) of a geometry-optimized TaTl2 structure.

The structure in POSCAR format:
```
TaTl2
1.0
-0.137 -2.153 7.730
3.724 -3.368 6.261
-0.982 4.678 -6.447
Ta Tl
1 2
direct
0.000 0.000 0.000
0.653 0.653 0.000
0.347 0.347 0.000
```

Properties
Offset from the most stable computed form: 226 meV per atom
Formation energy: 0.694 eV per atom
Total moment: 0.000 μB per cell


No. 3
The following is a DFT calculation (PBE) of a geometry-optimized TlGe2As2 structure.

The structure in POSCAR format:
```
TlGe2As2
1.0
-1.054 2.124 3.879
-4.186 0.807 -1.580
-4.580 -3.942 3.579
As Tl Ge
2 1 2
direct
0.638 0.638 0.723
0.362 0.362 0.277
0.000 0.000 0.000
0.250 0.750 0.500
0.750 0.250 0.500
```

Properties
Offset from the most stable computed form: 8 meV per atom
Formation energy: 0.126 eV per atom
Total moment: 0.000 μB per cell


No. 4
The following is a DFT calculation (PBE) of a geometry-optimized La5Tb2YTm structure.

The structure in POSCAR format:
```
La5Tb2YTm
1.0
-0.411 -3.009 4.617
5.415 -6.761 -7.231
9.262 3.852 3.334
Tb La Tm Y
4 10 2 2
direct
0.886 0.771 0.254
0.886 0.772 0.762
0.114 0.229 0.754
0.114 0.228 0.262
0.279 0.558 0.318
0.500 0.000 0.258
0.624 0.248 0.508
0.001 0.003 0.008
0.721 0.442 0.818
0.376 0.752 0.008
0.500 0.000 0.758
0.279 0.559 0.699
0.721 0.441 0.199
0.999 0.997 0.508
0.791 0.582 0.509
0.209 0.418 0.009
0.601 0.202 0.008
0.399 0.798 0.508
```

Properties
Formation energy: 0.124 eV per atom
Total moment: 0.000 μB per cell


No. 5
The following is a DFT calculation (PBE) of a geometry-optimized CuSnHPt2 structure.

The structure in POSCAR format:
```
CuSnHPt2
1.0
-0.287 3.642 -1.767
-2.934 1.033 2.606
2.826 1.481 2.594
Pt Cu Sn H
2 1 1 1
direct
0.500 0.000 0.000
0.000 0.500 0.000
0.000 0.000 0.500
0.500 0.500 0.500
0.000 0.000 0.000
```

Properties
Energy: -4.822 eV per atom
Total moment: 0.000 μB per cell


No. 6
The following is a DFT calculation (PBE) of a geometry-optimized TlCd2Br structure.

The structure in POSCAR format:
```
TlCd2Br
1.0
6.218 0.000 -0.011
0.000 4.218 0.000
-1.949 0.000 9.173
Cd Br Tl
4 2 2
direct
0.123 0.500 0.034
0.202 0.000 0.265
0.504 0.500 0.437
0.010 0.500 0.468
0.588 0.500 0.959
0.039 0.000 0.802
0.498 0.000 0.697
0.697 0.000 0.223
```

Properties
Offset from the most stable computed form: 63 meV per atom
Formation energy without anion corrections: -0.2353 eV/atom
Total moment: 0.000 μB per cell


No. 7
The following is a DFT calculation (PBE) of a geometry-optimized ZrBeIn3 structure.

The structure in POSCAR format:
```
ZrBeIn3
1.0
5.648 0.000 0.000
0.000 5.648 0.000
0.000 0.000 5.648
Zr In Be
1 3 1
direct
0.000 0.000 0.000
0.000 0.000 0.500
0.500 0.000 0.000
0.000 0.500 0.000
0.500 0.500 0.500
```

Properties
Offset from the most stable computed form: 690 meV per atom
Formation energy: 1.153 eV per atom
Total moment: 0.000 μB per cell


No. 8
The following is a DFT calculation (PBE) of a geometry-optimized CoOs2Cl structure.

The structure in POSCAR format:
```
CoOs2Cl
1.0
-3.365 -0.816 -0.145
0.506 -2.350 1.481
-1.031 3.265 5.532
Os Cl Co
2 1 1
direct
0.000 0.000 0.004
0.500 0.500 0.194
0.000 0.500 0.508
0.500 0.500 0.795
```

Properties
Offset from the most stable computed form: 114 meV per atom
Formation energy without anion corrections: 0.5851 eV/atom
Total moment: 1.610 μB per cell


No. 9
The following is a DFT calculation (PBE) of a geometry-optimized KTcCl6 structure.

The structure in POSCAR format:
```
KTcCl6
1.0
6.798 0.000 0.000
3.399 5.887 0.000
3.399 1.962 6.189
Tc Cl K
1 6 1
direct
0.000 0.000 0.000
0.911 0.911 0.782
0.604 0.089 0.218
0.089 0.604 0.218
0.911 0.396 0.782
0.396 0.911 0.782
0.089 0.089 0.218
0.500 0.500 0.500
```

Properties
Offset from the most stable computed form: 19 meV per atom
Formation energy without anion corrections: -0.9148 eV/atom
Total moment: 1.999 μB per cell


No. 10
The following is a DFT calculation (PBE) of a geometry-optimized CaP2Br structure.

The structure in POSCAR format:
```
CaP2Br
1.0
4.985 0.000 0.000
2.492 4.317 0.000
2.492 1.439 4.070
P Br Ca
2 1 1
direct
0.250 0.250 0.250
0.000 0.000 0.000
0.500 0.500 0.500
0.750 0.750 0.750
```

Properties
Offset from the most stable computed form: 789 meV per atom
Formation energy without anion corrections: -0.0440 eV/atom
Total moment: 0.000 μB per cell


No. 11
The following is a DFT calculation (PBE) of a geometry-optimized La12Tb7Pu structure.

The structure in POSCAR format:
```
La12Tb7Pu
1.0
6.251 0.000 -1.287
-3.222 9.777 -5.100
0.192 0.000 11.486
La Tb Pu
12 7 1
direct
0.907 0.814 0.407
0.500 0.407 0.593
0.559 0.645 0.000
0.500 0.593 0.407
0.441 0.000 0.355
0.907 0.407 0.814
0.441 0.355 0.000
0.914 0.355 0.355
0.086 0.645 0.645
0.559 0.000 0.645
0.093 0.186 0.593
0.093 0.593 0.186
0.350 0.243 0.243
0.893 0.243 0.000
0.500 0.000 0.000
0.107 0.757 0.000
0.650 0.757 0.757
0.107 0.000 0.757
0.893 0.000 0.243
0.000 0.000 0.000
```

Properties
Formation energy: 0.183 eV per atom
Total moment: 5.436 μB per cell


No. 12
The following is a DFT calculation (PBE) of a geometry-optimized Ho12CdNi6 structure.

The structure in POSCAR format:
```
Ho12CdNi6
1.0
-7.081 -3.010 3.252
-0.457 -0.205 -8.338
6.440 -4.669 2.551
Ho Ni Cd
12 6 1
direct
0.697 0.884 0.187
0.187 0.697 0.884
0.303 0.116 0.813
0.511 0.813 0.697
0.813 0.697 0.511
0.813 0.303 0.116
0.489 0.187 0.303
0.884 0.187 0.697
0.697 0.511 0.813
0.187 0.303 0.489
0.116 0.813 0.303
0.303 0.489 0.187
0.876 0.376 0.500
0.500 0.876 0.376
0.376 0.500 0.876
0.500 0.124 0.624
0.624 0.500 0.124
0.124 0.624 0.500
0.000 0.000 0.000
```

Properties
Formation energy: -0.342 eV per atom
Total moment: 0.000 μB per cell


What did the seventh record say?
The following is a DFT calculation (PBE) of a geometry-optimized ZrBeIn3 structure.

The structure in POSCAR format:
```
ZrBeIn3
1.0
5.648 0.000 0.000
0.000 5.648 0.000
0.000 0.000 5.648
Zr In Be
1 3 1
direct
0.000 0.000 0.000
0.000 0.000 0.500
0.500 0.000 0.000
0.000 0.500 0.000
0.500 0.500 0.500
```

Properties
Offset from the most stable computed form: 690 meV per atom
Formation energy: 1.153 eV per atom
Total moment: 0.000 μB per cell


Please write out number 2 again, unchanged.
The following is a DFT calculation (PBE) of a geometry-optimized TaTl2 structure.

The structure in POSCAR format:
```
TaTl2
1.0
-0.137 -2.153 7.730
3.724 -3.368 6.261
-0.982 4.678 -6.447
Ta Tl
1 2
direct
0.000 0.000 0.000
0.653 0.653 0.000
0.347 0.347 0.000
```

Properties
Offset from the most stable computed form: 226 meV per atom
Formation energy: 0.694 eV per atom
Total moment: 0.000 μB per cell